Computed, not measured: GdNi5 after structural relaxation at the GGA-PBEsol level of DFT.

Cell lengths 4.8135, 4.8135, 3.9033 Å; angles 90.00, 90.00, 120.00 degrees
Space group P6/mmm (No. 191)
Inequivalent atoms, fractional coordinates:
Gd: 0.0000 0.0000 0.0000 (multiplicity 1)
Ni: 0.0000 0.5000 0.5000 (multiplicity 3)
Ni: 0.3333 0.6667 0.0000 (multiplicity 2)

Values from the calculation:
DOS(E_F)	7.45	states/eV/cell
total magnetization	7.97	μB per formula unit
final energy	-47.10	eV per cell
ΔE_f	-311	meV per atom